Entry 1:
The following is a DFT calculation (GGA-PBE) of a relaxed TaHgW3 crystal.

```
5
Lattice="-3.945 2.076 1.785 -1.403 -4.221 1.809 2.352 0.965 4.074" Properties=species:S:1:pos:R:3 pbc="T T T"
W -0.701 -2.111 0.905
W 1.176 0.482 2.037
Hg -1.498 -0.590 3.835
Ta 0.000 0.000 0.000
W -1.973 1.038 0.893
```

Output
Energy relative to the elements in meV per atom: 2265
Polymorph energy (0 for the lowest one) in meV/atom: 0
DOS(E_F) in states/eV per cell: 5.07



Entry 2:
The following is a DFT calculation (GGA-PBE) of a relaxed TaHg2W crystal.

```
4
Lattice="10.362 -0.016 -0.009 9.944 2.911 -0.009 9.944 1.418 2.542" Properties=species:S:1:pos:R:3 pbc="T T T"
Hg 0.115 0.016 0.010
Ta 15.040 2.144 1.255
Hg 7.473 1.066 0.624
W 22.746 3.243 1.898
```

Output
Energy relative to the elements in meV per atom: 516
Polymorph energy (0 for the lowest one) in meV/atom: 129
DOS(E_F) in states/eV per cell: 3.29



Entry 3:
The following is a DFT calculation (GGA-PBE) of a relaxed TaHgW crystal.

```
3
Lattice="4.531 0.000 0.000 2.266 3.924 0.000 2.266 1.308 3.700" Properties=species:S:1:pos:R:3 pbc="T T T"
W 6.797 3.924 2.775
Ta 4.531 2.616 1.850
Hg 0.000 0.000 0.000
```

Output
Energy relative to the elements in meV per atom: 1229
Polymorph energy (0 for the lowest one) in meV/atom: 834
DOS(E_F) in states/eV per cell: 5.06



Entry 4:
The following is a DFT calculation (GGA-PBE) of a relaxed TaHgW4 crystal.

```
6
Lattice="0.000 3.766 3.766 3.766 0.000 3.766 3.766 3.766 0.000" Properties=species:S:1:pos:R:3 pbc="T T T"
Ta 0.000 0.000 0.000
W 2.829 2.829 2.829
Hg 5.649 5.649 5.649
W 2.829 4.702 4.702
W 4.702 4.702 2.829
W 4.702 2.829 4.702
```

Output
Energy relative to the elements in meV per atom: 451
DOS(E_F) in states/eV per cell: 6.56



Entry 5:
The following is a DFT calculation (GGA-PBE) of a relaxed TaHg2W crystal.

```
4
Lattice="4.447 0.000 0.000 0.000 2.900 -0.011 0.000 1.191 5.953" Properties=species:S:1:pos:R:3 pbc="T T T"
Hg 0.000 1.680 5.855
Ta 0.000 2.081 3.032
Hg 2.224 0.545 1.580
W 2.224 3.022 4.398
```

Output
Energy relative to the elements in meV per atom: 564
Polymorph energy (0 for the lowest one) in meV/atom: 177
DOS(E_F) in states/eV per cell: 2.05



Entry 6:
The following is a DFT calculation (GGA-PBE) of a relaxed TaHg2W crystal.

```
4
Lattice="-1.936 2.241 0.176 0.076 -1.099 -2.755 -6.924 -6.160 2.268" Properties=species:S:1:pos:R:3 pbc="T T T"
Ta -3.599 -3.202 1.179
Hg -2.748 -1.046 -0.694
Hg -6.828 -6.075 2.237
W -5.995 -3.935 0.370
```

Output
Energy relative to the elements in meV per atom: 387
Polymorph energy (0 for the lowest one) in meV/atom: 0
DOS(E_F) in states/eV per cell: 2.87



Entry 7:
The following is a DFT calculation (GGA-PBE) of a relaxed TaHgW crystal.

```
3
Lattice="-5.147 -0.088 -0.368 -2.718 -3.297 2.895 3.280 3.978 -0.232" Properties=species:S:1:pos:R:3 pbc="T T T"
W -5.267 -2.267 1.692
Ta -2.589 -1.114 0.832
Hg -0.009 -0.004 0.003
```

Output
Energy relative to the elements in meV per atom: 526
Polymorph energy (0 for the lowest one) in meV/atom: 131
DOS(E_F) in states/eV per cell: 3.55



Entry 8:
The following is a DFT calculation (GGA-PBE) of a relaxed TaHgW crystal.

```
3
Lattice="4.763 0.000 0.000 -2.382 4.125 0.000 0.000 0.000 2.776" Properties=species:S:1:pos:R:3 pbc="T T T"
Ta 2.382 1.375 0.974
Hg 0.000 0.000 2.735
W 0.000 2.750 1.844
```

Output
Energy relative to the elements in meV per atom: 540
Polymorph energy (0 for the lowest one) in meV/atom: 145
DOS(E_F) in states/eV per cell: 2.24



Entry 9:
The following is a DFT calculation (GGA-PBE) of a relaxed TaHgW crystal.

```
3
Lattice="5.354 -0.013 0.000 3.188 4.302 0.000 -4.271 -2.145 2.414" Properties=species:S:1:pos:R:3 pbc="T T T"
Hg 0.006 0.003 0.000
W 5.844 2.934 0.000
Ta 2.692 1.352 0.000
```

Output
Energy relative to the elements in meV per atom: 460
Polymorph energy (0 for the lowest one) in meV/atom: 66
DOS(E_F) in states/eV per cell: 2.54



Entry 10:
The following is a DFT calculation (GGA-PBE) of a relaxed TaHg2W crystal.

```
4
Lattice="-1.511 -9.679 1.839 -0.408 -9.917 -0.914 1.434 -9.761 1.418" Properties=species:S:1:pos:R:3 pbc="T T T"
Hg -0.242 -14.641 1.168
Ta -0.121 -7.339 0.586
Hg -0.001 -0.038 0.003
W -0.363 -22.018 1.757
```

Output
Energy relative to the elements in meV per atom: 635
Polymorph energy (0 for the lowest one) in meV/atom: 249
DOS(E_F) in states/eV per cell: 4.98



Entry 11:
The following is a DFT calculation (GGA-PBE) of a relaxed TaHg2W crystal.

```
4
Lattice="3.409 0.000 0.000 0.000 3.409 0.000 0.000 0.000 6.833" Properties=species:S:1:pos:R:3 pbc="T T T"
Hg 1.704 1.704 1.779
Hg 0.000 0.000 6.747
Ta 0.000 0.000 3.698
W 1.704 1.704 4.858
```

Output
Energy relative to the elements in meV per atom: 494
Polymorph energy (0 for the lowest one) in meV/atom: 107
DOS(E_F) in states/eV per cell: 2.51



Entry 12:
The following is a DFT calculation (GGA-PBE) of a relaxed TaHg2W crystal.

```
4
Lattice="5.206 -0.016 0.000 1.884 4.853 0.000 -3.545 -2.419 2.947" Properties=species:S:1:pos:R:3 pbc="T T T"
W 2.603 -0.008 1.473
Ta 3.545 2.419 0.000
Hg 0.942 2.426 1.473
Hg 0.000 0.000 0.000
```

Output
Energy relative to the elements in meV per atom: 707
Polymorph energy (0 for the lowest one) in meV/atom: 320
DOS(E_F) in states/eV per cell: 2.68



Entry 13:
The following is a DFT calculation (GGA-PBE) of a relaxed TaHg2W crystal.

```
4
Lattice="-1.380 0.387 4.989 -2.817 -1.831 3.957 3.776 -3.305 1.848" Properties=species:S:1:pos:R:3 pbc="T T T"
Hg -0.107 -1.172 2.668
W -0.379 -3.516 8.084
Hg -0.004 -0.014 0.036
Ta -0.141 -2.422 5.404
```

Output
Energy relative to the elements in meV per atom: 641
Polymorph energy (0 for the lowest one) in meV/atom: 254
DOS(E_F) in states/eV per cell: 2.81



Entry 14:
The following is a DFT calculation (GGA-PBE) of a relaxed TaHg2W crystal.

```
4
Lattice="-4.475 3.177 1.567 -5.003 -2.661 0.682 5.440 0.508 1.652" Properties=species:S:1:pos:R:3 pbc="T T T"
Hg -0.091 0.005 0.022
W -2.336 -0.937 1.773
Hg -1.833 1.969 2.159
Ta -4.517 0.246 1.072
```

Output
Energy relative to the elements in meV per atom: 603
Polymorph energy (0 for the lowest one) in meV/atom: 216
DOS(E_F) in states/eV per cell: 1.93



Entry 15:
The following is a DFT calculation (GGA-PBE) of a relaxed TaHg2W crystal.

```
8
Lattice="-0.447 1.535 3.635 1.518 -3.310 1.585 10.065 3.215 2.050" Properties=species:S:1:pos:R:3 pbc="T T T"
Hg 2.425 1.355 2.996
Hg 8.491 0.846 6.111
W 0.000 0.000 0.000
W 5.077 1.931 4.148
Hg 7.945 1.758 3.489
Ta 0.535 -0.887 2.610
Ta 6.059 -0.491 3.123
Hg 3.411 -1.079 1.944
```

Output
Energy relative to the elements in meV per atom: 943
Polymorph energy (0 for the lowest one) in meV/atom: 556
DOS(E_F) in states/eV per cell: 9.49